A plane-wave DFT calculation with GGA-PBE was carried out for a geometry-optimized BiTeIr structure.

Lattice parameters (Å, degrees): 6.608 6.608 6.608 90.00 90.00 90.00
Fractional positions:
Ir 0.993 0.507 0.493
Ir 0.007 0.007 0.007
Bi 0.632 0.868 0.132
Te 0.126 0.874 0.374
Ir 0.507 0.493 0.993
Te 0.874 0.374 0.126
Bi 0.368 0.368 0.368
Ir 0.493 0.993 0.507
Te 0.626 0.626 0.626
Bi 0.132 0.632 0.868
Te 0.374 0.126 0.874
Bi 0.868 0.132 0.632

Values from the calculation:
- magnetization (μB per formula unit) = 0.000
- raw total energy (eV per formula unit) = -16.56
- uncorrected formation energy (kJ/mol of atoms) = -21.64
- symmetry = No. 198

=====

A plane-wave DFT calculation with GGA-PBE was carried out for a geometry-optimized BiTe3Ir structure.

Lattice parameters (Å, degrees): 5.812 5.812 5.812 90.00 90.00 90.00
Each line ends with the local moment (μB).
Fractional positions:
Ir 0.500 0.500 0.500  2.17
Te 0.500 0.000 0.000  0.12
Te 0.000 0.000 0.500  0.12
Bi 0.000 0.000 0.000  0.00
Te 0.000 0.500 0.000  0.18

Values from the calculation:
- excess energy over the best structure of this formula in the dataset (meV per atom) = 1699.7
- magnetization (μB per formula unit) = 3.110
- raw total energy (eV per formula unit) = -13.99
- uncorrected formation energy (kJ/mol of atoms) = 157.70
- symmetry = No. 221

=====

A plane-wave DFT calculation with GGA-PBE was carried out for a geometry-optimized Bi6Te2Ir structure.

Lattice parameters (Å, degrees): 8.642 8.642 8.955 90.00 90.00 122.33
Fractional positions:
Bi 0.105 0.895 0.943
Bi 0.021 0.438 0.750
Bi 0.105 0.895 0.557
Te 0.343 0.657 0.977
Bi 0.979 0.562 0.250
Bi 0.307 0.261 0.750
Te 0.343 0.657 0.523
Bi 0.739 0.693 0.750
Bi 0.562 0.979 0.750
Bi 0.261 0.307 0.250
Bi 0.895 0.105 0.057
Te 0.657 0.343 0.023
Bi 0.895 0.105 0.443
Ir 0.928 0.072 0.750
Ir 0.072 0.928 0.250
Te 0.657 0.343 0.477
Bi 0.693 0.739 0.250
Bi 0.438 0.021 0.250

Values from the calculation:
- magnetization (μB per formula unit) = 0.000
- raw total energy (eV per formula unit) = -38.59
- uncorrected formation energy (kJ/mol of atoms) = -1.69
- symmetry = No. 63

=====

A plane-wave DFT calculation with GGA-PBE was carried out for a geometry-optimized BiTe2Ir structure.

Lattice parameters (Å, degrees): 9.379 9.379 9.379 24.26 24.26 24.26
Fractional positions:
Te 0.116 0.116 0.116
Te 0.884 0.884 0.884
Ir 0.500 0.500 0.500
Bi 0.000 0.000 0.000

Values from the calculation:
- magnetization (μB per formula unit) = 0.000
- raw total energy (eV per formula unit) = -19.40
- uncorrected formation energy (kJ/mol of atoms) = -9.00
- symmetry = No. 166

=====

A plane-wave DFT calculation with GGA-PBE was carried out for a geometry-optimized BiTeIr structure.

Lattice parameters (Å, degrees): 6.594 6.889 6.889 105.56 90.00 90.00
Fractional positions:
Te 0.630 0.860 0.641
Bi 0.638 0.363 0.137
Ir 0.993 0.747 0.740
Ir 0.507 0.247 0.740
Bi 0.138 0.137 0.863
Bi 0.362 0.637 0.863
Te 0.370 0.140 0.359
Te 0.130 0.640 0.359
Te 0.870 0.360 0.641
Ir 0.007 0.253 0.260
Bi 0.862 0.863 0.137
Ir 0.493 0.753 0.260

Values from the calculation:
- magnetization (μB per formula unit) = 0.000
- raw total energy (eV per formula unit) = -16.54
- uncorrected formation energy (kJ/mol of atoms) = -21.00
- symmetry = No. 14

=====

A plane-wave DFT calculation with GGA-PBE was carried out for a geometry-optimized Bi3TeIr structure.

Lattice parameters (Å, degrees): 5.402 5.402 5.402 90.00 90.00 90.00
Fractional positions:
Bi 0.500 0.000 0.000
Bi 0.000 0.000 0.500
Te 0.500 0.500 0.500
Bi 0.000 0.500 0.000
Ir 0.000 0.000 0.000

Values from the calculation:
- excess energy over the best structure of this formula in the dataset (meV per atom) = 404.2
- magnetization (μB per formula unit) = 0.000
- raw total energy (eV per formula unit) = -21.57
- uncorrected formation energy (kJ/mol of atoms) = 40.13
- symmetry = No. 221

=====

A plane-wave DFT calculation with GGA-PBE was carried out for a geometry-optimized BiTe3Ir structure.

Lattice parameters (Å, degrees): 5.998 6.730 8.066 108.16 93.38 68.79
Fractional positions:
Ir 0.500 0.000 0.000
Te 0.114 0.366 0.145
Te 0.714 0.163 0.304
Te 0.353 0.785 0.177
Te 0.886 0.634 0.855
Ir 0.000 0.000 0.000
Bi 0.203 0.196 0.501
Te 0.286 0.837 0.696
Te 0.647 0.215 0.823
Bi 0.797 0.804 0.499

Values from the calculation:
- excess energy over the best structure of this formula in the dataset (meV per atom) = 0.0
- magnetization (μB per formula unit) = 0.000
- raw total energy (eV per formula unit) = -22.49
- uncorrected formation energy (kJ/mol of atoms) = -6.30
- symmetry = No. 2

=====

A plane-wave DFT calculation with GGA-PBE was carried out for a geometry-optimized BiTeIr2 structure.

Lattice parameters (Å, degrees): 6.000 6.000 7.404 66.10 66.10 90.00
Fractional positions:
Ir 0.875 0.854 0.750
Te 0.500 0.500 0.000
Bi 0.000 0.000 0.000
Ir 0.375 0.396 0.750
Bi 0.750 0.250 0.500
Ir 0.604 0.125 0.250
Ir 0.146 0.625 0.250
Te 0.250 0.750 0.500

Values from the calculation:
- excess energy over the best structure of this formula in the dataset (meV per atom) = 0.0
- magnetization (μB per formula unit) = 0.000
- raw total energy (eV per formula unit) = -23.04
- uncorrected formation energy (kJ/mol of atoms) = 41.11
- symmetry = No. 122

=====

A plane-wave DFT calculation with GGA-PBE was carried out for a geometry-optimized BiTe3Ir structure.

Lattice parameters (Å, degrees): 5.269 5.269 5.269 90.00 90.00 90.00
Fractional positions:
Te 0.500 0.000 0.000
Te 0.000 0.500 0.000
Ir 0.000 0.000 0.000
Bi 0.500 0.500 0.500
Te 0.000 0.000 0.500

Values from the calculation:
- excess energy over the best structure of this formula in the dataset (meV per atom) = 437.1
- magnetization (μB per formula unit) = 0.000
- raw total energy (eV per formula unit) = -20.31
- uncorrected formation energy (kJ/mol of atoms) = 35.88
- symmetry = No. 221

=====

A plane-wave DFT calculation with GGA-PBE was carried out for a geometry-optimized Bi5Te4Ir structure.

Lattice parameters (Å, degrees): 6.150 7.875 7.875 81.23 67.02 67.02
Fractional positions:
Te 0.202 0.207 0.404
Te 0.813 0.793 0.596
Bi 0.906 0.341 0.849
Bi 0.465 0.000 0.000
Ir 0.011 0.000 0.000
Te 0.607 0.596 0.207
Te 0.409 0.404 0.793
Bi 0.755 0.151 0.341
Bi 0.247 0.849 0.659
Bi 0.096 0.659 0.151

Values from the calculation:
- magnetization (μB per formula unit) = 0.000
- raw total energy (eV per formula unit) = -41.89
- uncorrected formation energy (kJ/mol of atoms) = -10.18
- symmetry = No. 79

=====

A plane-wave DFT calculation with GGA-PBE was carried out for a geometry-optimized BiTeIr3 structure.

Lattice parameters (Å, degrees): 4.893 4.893 4.893 90.00 90.00 90.00
Fractional positions:
Ir 0.000 0.000 0.500
Bi 0.500 0.500 0.500
Te 0.000 0.000 0.000
Ir 0.000 0.500 0.000
Ir 0.500 0.000 0.000

Values from the calculation:
- excess energy over the best structure of this formula in the dataset (meV per atom) = 0.0
- magnetization (μB per formula unit) = 0.000
- raw total energy (eV per formula unit) = -27.06
- uncorrected formation energy (kJ/mol of atoms) = 126.39
- symmetry = No. 221

=====

A plane-wave DFT calculation with GGA-PBE was carried out for a geometry-optimized BiTeIr structure.

Lattice parameters (Å, degrees): 4.157 5.789 7.664 97.94 105.74 90.00
Fractional positions:
Bi 0.895 0.710 0.790
Te 0.404 0.158 0.808
Ir 0.705 0.545 0.410
Ir 0.295 0.455 0.590
Te 0.596 0.842 0.192
Bi 0.105 0.290 0.210

Values from the calculation:
- magnetization (μB per formula unit) = 0.000
- raw total energy (eV per formula unit) = -15.23
- uncorrected formation energy (kJ/mol of atoms) = 20.98
- symmetry = No. 12